[1]
Material: KTaMo
Method: DFT, PBEsol
State: optimized geometry

Unit cell a=6.4601 b=6.4601 c=6.4601 alpha=90.00 beta=90.00 gamma=90.00
Last column: nearest neighbours and their distance in Å.
Space group F-43m (No. 216)
One atom of each set of equivalent atoms:
K: 0.0000 0.0000 0.0000 [4 per cell]  4 Mo 2.80
Ta: 0.0000 0.0000 0.5000 [4 per cell]  4 Mo 2.80
Mo: 0.2500 0.2500 0.7500 [4 per cell]  4 Ta 2.80, 4 K 2.80

Properties
The value obtained for the calculated volume is 22.5 A^3/atom. The formation energy comes out at 2.149 eV/atom.

=====

[2]
Material: KTaMo
Method: DFT, PBEsol
State: optimized geometry

Unit cell a=5.0946 b=5.0946 c=2.6146 alpha=90.00 beta=90.00 gamma=120.00
Last column: nearest neighbours and their distance in Å.
Space group P3m1 (No. 156)
One atom of each set of equivalent atoms:
K: 0.0000 0.0000 0.0000 [1 per cell]  2 K 2.61
Ta: 0.6667 0.3333 0.4336 [1 per cell]  2 Ta 2.61
Mo: 0.3333 0.6667 0.8867 [1 per cell]  2 Mo 2.61

Properties
The value obtained for the calculated volume is 19.6 A^3/atom. The formation energy comes out at 1.485 eV/atom.

=====

[3]
Material: KTcMo2
Method: DFT, PBEsol
State: optimized geometry

Unit cell a=3.7466 b=3.7466 c=4.8493 alpha=90.00 beta=90.00 gamma=90.00
Last column: nearest neighbours and their distance in Å.
Space group P4/mmm (No. 123)
One atom of each set of equivalent atoms:
K: 0.0000 0.0000 0.0000 [1 per cell]  4 Tc 2.65
Tc: 0.5000 0.5000 0.0000 [1 per cell]  4 K 2.65
Mo: 0.0000 0.5000 0.5000 [2 per cell]  4 Mo 2.65

Properties
The value obtained for the calculated volume is 17.0 A^3/atom. The formation energy comes out at 1.901 eV/atom.

=====

[4]
Material: KTc2Mo
Method: DFT, PBEsol
State: optimized geometry

Unit cell a=3.0153 b=4.4542 c=10.3358 alpha=90.00 beta=90.00 gamma=90.00
Last column: nearest neighbours and their distance in Å.
Space group Cmm2 (No. 35)
One atom of each set of equivalent atoms:
K: 0.0000 0.0000 0.0000 [2 per cell]  4 K 2.69
Tc: 0.0000 0.0000 0.4880 [2 per cell]  6 Tc 2.60-2.69, 2 Mo 2.63
Tc: 0.0000 0.5000 0.2836 [2 per cell]  6 Tc 2.60-2.69
Mo: 0.0000 0.5000 0.6971 [2 per cell]  2 Tc 2.63, 4 Mo 2.69

Properties
The value obtained for the calculated volume is 17.4 A^3/atom. The formation energy comes out at 0.824 eV/atom.

=====

[5]
Material: KTcMo2
Method: DFT, PBEsol
State: optimized geometry

Unit cell a=2.8100 b=2.8100 c=31.5632 alpha=90.00 beta=90.00 gamma=120.00
Last column: nearest neighbours and their distance in Å.
Space group R-3m (No. 166, hexagonal axes)
One atom of each set of equivalent atoms:
K: 0.0000 0.0000 0.0000 [3 per cell]  6 K 2.81
Tc: 0.0000 0.0000 0.5000 [3 per cell]  6 Mo 2.69, 6 Tc 2.81
Mo: 0.0000 0.0000 0.2345 [6 per cell]  3 Tc 2.69, 6 Mo 2.81

Properties
The value obtained for the calculated volume is 18.0 A^3/atom. The formation energy comes out at 0.846 eV/atom.

=====

[6]
Material: KTcMo2
Method: DFT, PBEsol
State: optimized geometry

Unit cell a=3.1221 b=4.4934 c=10.2185 alpha=90.00 beta=90.00 gamma=90.00
Last column: nearest neighbours and their distance in Å.
Space group Cmm2 (No. 35)
One atom of each set of equivalent atoms:
K: 0.0000 0.0000 0.0000 [2 per cell]  4 K 2.74
Tc: 0.0000 0.5000 0.2842 [2 per cell]  2 Mo 2.59, 4 Tc 2.74
Mo: 0.0000 0.0000 0.4862 [2 per cell]  2 Tc 2.59, 6 Mo 2.63-2.74
Mo: 0.0000 0.5000 0.6938 [2 per cell]  6 Mo 2.63-2.74

Properties
The value obtained for the calculated volume is 17.9 A^3/atom. The formation energy comes out at 0.747 eV/atom.

=====

[7]
Material: KTc2Mo
Method: DFT, PBEsol
State: optimized geometry

Unit cell a=3.0923 b=3.0923 c=8.3738 alpha=90.00 beta=90.00 gamma=90.00
Last column: nearest neighbours and their distance in Å.
Space group P4/mmm (No. 123)
One atom of each set of equivalent atoms:
K: 0.0000 0.0000 0.0000 [1 per cell]  4 K 3.09
Tc: 0.5000 0.5000 0.3365 [2 per cell]  4 Mo 2.58, 1 Tc 2.74
Mo: 0.0000 0.0000 0.5000 [1 per cell]  8 Tc 2.58

Properties
The value obtained for the calculated volume is 20.0 A^3/atom. The formation energy comes out at 0.867 eV/atom.

=====

[8]
Material: KTeMo2
Method: DFT, PBEsol
State: optimized geometry

Unit cell a=2.8338 b=5.2858 c=11.3279 alpha=90.00 beta=90.00 gamma=90.00
Last column: nearest neighbours and their distance in Å.
Space group Immm (No. 71)
One atom of each set of equivalent atoms:
K: 0.0000 0.0000 0.0000 [2 per cell]  2 K 2.83, 4 Te 3.00
Te: 0.0000 0.0000 0.5000 [2 per cell]  4 Mo 2.77, 2 Te 2.83, 4 K 3.00
Mo: 0.0000 0.5000 0.2106 [4 per cell]  2 Te 2.77, 2 Mo 2.83

Properties
The value obtained for the calculated volume is 21.2 A^3/atom. The uncorrected formation energy is 4.3 eV/f.u.

=====

[9]
Material: KTe3Mo3
Method: DFT, PBEsol
State: optimized geometry

Unit cell a=9.5796 b=9.5796 c=4.5655 alpha=90.00 beta=90.00 gamma=120.00
Last column: nearest neighbours and their distance in Å.
Space group P6_3/m (No. 176)
One atom of each set of equivalent atoms:
K: 0.3333 0.6667 0.2500 [2 per cell]  9 Te 3.59-3.64
Te: 0.0612 0.6973 0.7500 [6 per cell]  4 Mo 2.80-2.85
Mo: 0.0295 0.8581 0.2500 [6 per cell]  6 Mo 2.63-2.74, 4 Te 2.80-2.85

Properties
The value obtained for the calculated volume is 25.9 A^3/atom. The uncorrected formation energy is -3.3 eV/f.u.

=====

[10]
Material: KTeMo
Method: DFT, PBEsol
State: optimized geometry

Unit cell a=4.6657 b=4.6657 c=5.2122 alpha=90.00 beta=90.00 gamma=120.00
Last column: nearest neighbours and their distance in Å.
Space group P-6m2 (No. 187)
One atom of each set of equivalent atoms:
K: 0.0000 0.0000 0.0000 [1 per cell]  6 Mo 3.75, 6 Te 3.75
Te: 0.3333 0.6667 0.5000 [1 per cell]  3 Mo 2.69
Mo: 0.6667 0.3333 0.5000 [1 per cell]  3 Te 2.69

Properties
The value obtained for the calculated volume is 32.8 A^3/atom. The uncorrected formation energy is 1.9 eV/f.u.

=====

[11]
Material: KTeMo4
Method: DFT, PBEsol
State: optimized geometry

Unit cell a=7.6444 b=7.6444 c=7.6444 alpha=90.00 beta=90.00 gamma=90.00
Last column: nearest neighbours and their distance in Å.
Space group F-43m (No. 216)
One atom of each set of equivalent atoms:
K: 0.0000 0.0000 0.0000 [4 per cell]  12 Mo 3.17, 4 Te 3.31
Te: 0.2500 0.2500 0.7500 [4 per cell]  12 Mo 3.17, 4 K 3.31
Mo: 0.1239 0.1239 0.3761 [16 per cell]  6 Mo 2.68-2.73

Properties
The value obtained for the calculated volume is 18.6 A^3/atom. The uncorrected formation energy is 6.2 eV/f.u.

=====

[12]
Material: KTe4Mo
Method: DFT, PBEsol
State: optimized geometry

Unit cell a=9.0366 b=9.0366 c=9.0366 alpha=90.00 beta=90.00 gamma=90.00
Last column: nearest neighbours and their distance in Å.
Space group F-43m (No. 216)
One atom of each set of equivalent atoms:
K: 0.0000 0.0000 0.0000 [4 per cell]  12 Te 3.75, 4 Mo 3.91
Te: 0.1241 0.1241 0.3759 [16 per cell]  6 Te 3.17-3.22
Mo: 0.2500 0.2500 0.7500 [4 per cell]  12 Te 3.74, 4 K 3.91

Properties
The value obtained for the calculated volume is 30.7 A^3/atom. The uncorrected formation energy is 4.2 eV/f.u.

=====

[13]
Material: KTeMo2
Method: DFT, PBEsol
State: optimized geometry

Unit cell a=2.8872 b=5.3470 c=6.0892 alpha=90.00 beta=90.49 gamma=90.00
Last column: nearest neighbours and their distance in Å.
Space group P2/m (No. 10)
One atom of each set of equivalent atoms:
K: 0.0000 0.0000 0.0000 [1 per cell]  2 K 2.89
Te: 0.5000 0.0000 0.5000 [1 per cell]  2 Te 2.89, 4 Mo 2.89
Mo: 0.3789 0.5000 0.3269 [2 per cell]  1 Mo 2.22

Properties
The value obtained for the calculated volume is 23.5 A^3/atom. The uncorrected formation energy is 3.8 eV/f.u.

=====

[14]
Material: KTeMo2
Method: DFT, PBEsol
State: optimized geometry

Unit cell a=4.0523 b=4.0523 c=4.8268 alpha=90.00 beta=90.00 gamma=90.00
Last column: nearest neighbours and their distance in Å.
Space group P4/mmm (No. 123)
One atom of each set of equivalent atoms:
K: 0.0000 0.0000 0.0000 [1 per cell]  4 Te 2.87, 8 Mo 3.15
Te: 0.5000 0.5000 0.0000 [1 per cell]  4 K 2.87, 8 Mo 3.15
Mo: 0.0000 0.5000 0.5000 [2 per cell]  4 Mo 2.87, 4 K 3.15, 4 Te 3.15

Properties
The value obtained for the calculated volume is 19.8 A^3/atom. The uncorrected formation energy is 5.1 eV/f.u.

=====

[15]
Material: KTl2Mo
Method: DFT, PBEsol
State: optimized geometry

Unit cell a=5.1812 b=5.1927 c=7.3244 alpha=90.00 beta=90.00 gamma=90.00
Last column: nearest neighbours and their distance in Å.
Space group Immm (No. 71)
One atom of each set of equivalent atoms:
K: 0.0000 0.0000 0.0000 [2 per cell]  8 Tl 3.17-3.18
Tl: 0.0000 0.5000 0.2493 [4 per cell]  4 Mo 3.17-3.18, 4 K 3.17-3.18
Mo: 0.0000 0.0000 0.5000 [2 per cell]  8 Tl 3.17-3.18

Properties
The value obtained for the calculated volume is 24.6 A^3/atom. The formation energy comes out at 0.845 eV/atom.